{"formula": "Ac4Sb7Pb5", "functional": "PBE", "state": "relaxed", "raw_formation_energy_mev_per_atom": -532, "n_ef_per_ev_fu": 11.02, "lattice_angstrom": [[-3.328, 3.328, 11.817], [3.328, -3.328, 11.817], [3.328, 3.328, -11.817]], "species": ["Ac", "Ac", "Ac", "Ac", "Sb", "Sb", "Sb", "Sb", "Sb", "Sb", "Sb", "Pb", "Pb", "Pb", "Pb", "Pb"], "fractional_positions": [[0.150, 0.150, 0.521], [0.371, 0.850, 0.000], [0.629, 0.629, 0.479], [0.850, 0.371, 0.000], [0.000, 0.500, 0.500], [0.099, 0.627, 0.000], [0.373, 0.373, 0.472], [0.500, 0.000, 0.500], [0.500, 0.500, 0.000], [0.627, 0.099, 0.000], [0.901, 0.901, 0.528], [0.000, 0.000, 0.000], [0.242, 0.242, 0.000], [0.250, 0.750, 0.500], [0.750, 0.250, 0.500], [0.758, 0.758, 0.000]]}


{"formula": "Tb2CeErTm5", "functional": "PBE", "state": "relaxed", "e_form_ev_per_atom": 0.17, "n_ef_per_ev_fu": 15.22, "lattice_angstrom": [[2.812, -10.636, 0.000], [2.812, 10.636, 0.000], [0.000, 0.000, 9.465]], "species": ["Tb", "Tb", "Tb", "Tb", "Ce", "Ce", "Er", "Er", "Tm", "Tm", "Tm", "Tm", "Tm", "Tm", "Tm", "Tm", "Tm", "Tm"], "fractional_positions": [[0.113, 0.887, 0.500], [0.134, 0.866, 0.114], [0.866, 0.134, 0.614], [0.887, 0.113, 0.000], [0.192, 0.808, 0.802], [0.808, 0.192, 0.302], [0.403, 0.597, 0.393], [0.597, 0.403, 0.893], [0.014, 0.986, 0.808], [0.267, 0.733, 0.488], [0.307, 0.693, 0.107], [0.395, 0.605, 0.778], [0.472, 0.528, 0.076], [0.528, 0.472, 0.576], [0.605, 0.395, 0.278], [0.693, 0.307, 0.607], [0.733, 0.267, 0.988], [0.986, 0.014, 0.308]]}


{"formula": "TlNi2Br", "functional": "PBE", "state": "relaxed", "relative_energy_ev_per_atom": 0.151, "raw_formation_energy_mev_per_atom": 249, "n_ef_per_ev_fu": 3.37, "lattice_angstrom": [[3.172, -1.829, 0.000], [3.172, 1.829, 0.000], [-2.099, 0.000, 7.094]], "species": ["Tl", "Ni", "Ni", "Br"], "fractional_positions": [[0.000, 0.000, 0.000], [0.257, 0.257, 0.768], [0.535, 0.535, 0.603], [0.808, 0.808, 0.422]]}


{"formula": "Pm2Ni4Sn3Ir", "functional": "PBE", "state": "relaxed", "e_form_ev_per_atom": -0.44, "n_ef_per_ev_fu": 9.80, "lattice_angstrom": [[4.235, 0.000, 0.000], [0.000, 4.235, 0.000], [0.000, 0.000, 10.653]], "species": ["Pm", "Pm", "Ni", "Ni", "Ni", "Ni", "Sn", "Sn", "Sn", "Ir"], "fractional_positions": [[0.000, 0.500, 0.241], [0.500, 0.000, 0.759], [0.000, 0.000, 0.500], [0.000, 0.500, 0.866], [0.500, 0.000, 0.134], [0.500, 0.500, 0.500], [0.000, 0.000, 0.000], [0.000, 0.500, 0.629], [0.500, 0.000, 0.371], [0.500, 0.500, 0.000]]}


{"formula": "LaCrTc2", "functional": "PBE", "state": "relaxed", "e_form_ev_per_atom": 0.32, "relative_energy_ev_per_atom": 0.024, "n_ef_per_ev_fu": 3.07, "lattice_angstrom": [[3.092, 0.000, 0.000], [0.000, 3.092, 0.000], [0.000, 0.000, 7.802]], "species": ["La", "Cr", "Tc", "Tc"], "fractional_positions": [[0.000, 0.000, 0.000], [0.500, 0.500, 0.674], [0.000, 0.000, 0.482], [0.500, 0.500, 0.296]]}


{"formula": "PmHoI", "functional": "PBE", "state": "relaxed", "relative_energy_ev_per_atom": 0.000, "raw_formation_energy_mev_per_atom": -428, "n_ef_per_ev_fu": 3.96, "lattice_angstrom": [[-1.854, 1.854, 7.042], [1.854, -1.854, 7.042], [1.854, 1.854, -7.042]], "species": ["Pm", "Ho", "I"], "fractional_positions": [[0.000, 0.000, 0.000], [0.671, 0.671, 0.000], [0.330, 0.330, 0.000]]}


{"formula": "CuRu2Br", "functional": "PBE", "state": "relaxed", "relative_energy_ev_per_atom": 0.065, "raw_formation_energy_mev_per_atom": 511, "n_ef_per_ev_fu": 4.16, "lattice_angstrom": [[2.909, 0.000, 0.000], [0.000, 2.909, 0.000], [0.000, 0.000, 7.855]], "species": ["Cu", "Ru", "Ru", "Br"], "fractional_positions": [[0.000, 0.000, 0.000], [0.000, 0.000, 0.418], [0.500, 0.500, 0.216], [0.500, 0.500, 0.661]]}


{"formula": "HgBrF6", "functional": "PBE", "state": "relaxed", "raw_formation_energy_mev_per_atom": -1044, "n_ef_per_ev_fu": 3.97, "lattice_angstrom": [[3.655, 0.000, 0.000], [1.185, 5.866, 0.000], [1.817, 0.600, 6.931]], "species": ["Hg", "Br", "F", "F", "F", "F", "F", "F"], "fractional_positions": [[0.000, 0.000, 0.000], [0.000, 0.500, 0.500], [0.070, 0.616, 0.239], [0.268, 0.717, 0.545], [0.448, 0.114, 0.155], [0.552, 0.886, 0.845], [0.732, 0.283, 0.455], [0.930, 0.384, 0.761]]}


{"formula": "Na2Cd3Br8", "functional": "PBE", "state": "relaxed", "raw_formation_energy_mev_per_atom": -1057, "n_ef_per_ev_fu": 0.00, "lattice_angstrom": [[7.171, -4.102, 0.000], [7.171, 4.102, 0.000], [-1.345, 0.000, 7.050]], "species": ["Na", "Na", "Cd", "Cd", "Cd", "Br", "Br", "Br", "Br", "Br", "Br", "Br", "Br"], "fractional_positions": [[0.222, 0.222, 0.100], [0.778, 0.778, 0.900], [0.246, 0.754, 0.500], [0.500, 0.500, 0.000], [0.754, 0.246, 0.500], [0.116, 0.116, 0.408], [0.150, 0.619, 0.131], [0.381, 0.850, 0.869], [0.391, 0.391, 0.628], [0.609, 0.609, 0.372], [0.619, 0.150, 0.131], [0.850, 0.381, 0.869], [0.884, 0.884, 0.592]]}


{"formula": "YInCl2", "functional": "PBE", "state": "relaxed", "relative_energy_ev_per_atom": 0.106, "raw_formation_energy_mev_per_atom": -1186, "n_ef_per_ev_fu": 1.19, "lattice_angstrom": [[5.244, 0.000, 0.000], [0.000, 1.934, 5.081], [0.000, -1.934, 5.081]], "species": ["Y", "In", "Cl", "Cl"], "fractional_positions": [[0.000, 0.000, 0.000], [0.500, 0.395, 0.395], [0.000, 0.701, 0.701], [0.500, 0.109, 0.109]]}


{"formula": "Cs3CaPt", "functional": "PBE", "state": "relaxed", "e_form_ev_per_atom": 0.23, "n_ef_per_ev_fu": 4.14, "lattice_angstrom": [[6.833, 0.000, 0.000], [0.000, 6.833, 0.000], [0.000, 0.000, 6.833]], "species": ["Cs", "Cs", "Cs", "Ca", "Pt"], "fractional_positions": [[0.000, 0.000, 0.500], [0.000, 0.500, 0.000], [0.500, 0.000, 0.000], [0.500, 0.500, 0.500], [0.000, 0.000, 0.000]]}


{"formula": "Ac3Al2ZnAg6", "functional": "PBE", "state": "relaxed", "e_form_ev_per_atom": -0.08, "n_ef_per_ev_fu": 9.32, "lattice_angstrom": [[6.558, 0.000, 0.000], [-3.279, 5.679, 0.000], [0.000, 0.000, 8.486]], "species": ["Ac", "Ac", "Ac", "Al", "Al", "Zn", "Ag", "Ag", "Ag", "Ag", "Ag", "Ag"], "fractional_positions": [[0.000, 0.000, 0.000], [0.333, 0.667, 0.712], [0.667, 0.333, 0.288], [0.333, 0.667, 0.095], [0.667, 0.333, 0.905], [0.000, 0.000, 0.500], [0.187, 0.374, 0.340], [0.187, 0.813, 0.340], [0.374, 0.187, 0.660], [0.626, 0.813, 0.340], [0.813, 0.187, 0.660], [0.813, 0.626, 0.660]]}